The following is a DFT calculation (PBE) of a relaxed CsMnVSb2 crystal.

Lattice parameters (Å, degrees): 5.033 5.688 5.033 90.00 90.00 90.00
Positions (direct):
1 Mn 0.000 0.000 0.000
2 Sb 0.000 0.000 0.500
3 Sb 0.500 0.000 0.000
4 V 0.500 0.500 0.500
5 Cs 0.000 0.500 0.000

Output
The calculation puts the formation energy (no corrections) at 1036 meV per atom. The calculation puts the calculated density at 5.56 g cm⁻³.

---

The following is a DFT calculation (PBE) of a relaxed TiAgSn3 crystal.

Lattice parameters (Å, degrees): 5.277 5.277 5.277 90.00 90.00 90.00
Positions (direct):
1 Sn 0.500 0.000 0.000
2 Sn 0.000 0.500 0.000
3 Sn 0.000 0.000 0.500
4 Ti 0.000 0.000 0.000
5 Ag 0.500 0.500 0.500

Output
For the formation energy from the elements, the calculation gives 359 meV/atom. The calculation puts the calculated density at 5.78 g cm⁻³.

---

The following is a DFT calculation (PBE) of a relaxed PSe5I2 crystal.

Lattice parameters (Å, degrees): 5.813 5.813 9.142 108.53 108.53 90.00
Positions (direct):
1 Se 0.272 0.272 0.001
2 Se 0.729 0.272 0.001
3 Se 0.729 0.729 0.001
4 Se 0.793 0.793 0.585
5 Se 0.272 0.729 0.001
6 P 0.938 0.938 0.876
7 I 0.272 0.772 0.544
8 I 0.772 0.272 0.544

Output
The calculation puts the formation energy (no corrections) at 235 meV per atom. The calculation puts the calculated density at 4.09 g cm⁻³.

---

The following is a DFT calculation (PBE) of a relaxed Zn2RhPb crystal.

Lattice parameters (Å, degrees): 3.233 3.232 7.093 90.00 90.00 90.00
Positions (direct):
1 Pb 0.500 0.500 0.250
2 Zn 0.000 0.000 0.565
3 Zn 0.000 0.000 0.935
4 Rh 0.500 0.500 0.750

Output
For the formation energy from the elements, the calculation gives -93 meV/atom. The calculation puts the calculated density at 9.88 g cm⁻³.

---

The following is a DFT calculation (PBE) of a relaxed Fe2AuCl crystal.

Lattice parameters (Å, degrees): 8.771 8.771 8.771 19.83 19.83 19.83
Positions (direct):
1 Cl 0.726 0.726 0.726
2 Fe 0.262 0.262 0.262
3 Fe 0.996 0.996 0.996
4 Au 0.516 0.516 0.516

Output
The calculation puts the formation energy (no corrections) at 96 meV per atom. The calculation puts the calculated density at 8.41 g cm⁻³.

---

The following is a DFT calculation (PBE) of a relaxed MnP3 crystal.

Lattice parameters (Å, degrees): 4.025 3.971 7.114 90.00 90.00 90.00
Positions (direct):
1 P 0.500 0.500 0.421
2 P 0.000 0.000 0.461
3 P 0.500 0.000 0.258
4 P 0.500 0.000 0.921
5 P 0.500 0.500 0.758
6 P 0.000 0.500 0.961
7 Mn 0.000 0.500 0.599
8 Mn 0.000 0.000 0.099

Output
For the formation energy from the elements, the calculation gives -34 meV/atom. The calculation puts the calculated density at 4.32 g cm⁻³.

---

The following is a DFT calculation (PBE) of a relaxed NpTl3I6Br2 crystal.

Lattice parameters (Å, degrees): 7.235 9.256 9.836 118.07 97.76 90.00
Positions (direct):
1 I 0.746 0.879 0.757
2 I 0.735 0.860 0.173
3 I 0.265 0.140 0.827
4 I 0.254 0.121 0.243
5 I 0.735 0.313 0.173
6 I 0.265 0.687 0.827
7 Br 0.247 0.664 0.328
8 Br 0.753 0.336 0.672
9 Np 0.500 0.000 0.000
10 Tl 0.500 0.000 0.500
11 Tl 0.500 0.500 0.500
12 Tl 0.000 0.500 0.000

Output
The calculation puts the formation energy (no corrections) at -683 meV per atom. The calculation puts the calculated density at 5.12 g cm⁻³.

---

The following is a DFT calculation (PBE) of a relaxed CuAgGeI2 crystal.

Lattice parameters (Å, degrees): 5.704 4.851 5.704 90.00 90.00 90.00
Positions (direct):
1 I 0.000 0.000 0.500
2 I 0.500 0.000 0.000
3 Cu 0.000 0.500 0.000
4 Ag 0.000 0.000 0.000
5 Ge 0.500 0.500 0.500

Output
The calculation puts the formation energy (no corrections) at 722 meV per atom. The calculation puts the calculated density at 5.24 g cm⁻³.

---

The following is a DFT calculation (PBE) of a relaxed Rb2DyBr5 crystal.

Lattice parameters (Å, degrees): 8.822 9.256 13.917 90.00 90.00 90.00
Positions (direct):
1 Br 0.638 0.750 0.693
2 Br 0.900 0.750 0.486
3 Br 0.666 0.453 0.440
4 Br 0.409 0.750 0.319
5 Br 0.591 0.250 0.681
6 Br 0.834 0.047 0.940
7 Br 0.909 0.250 0.181
8 Br 0.400 0.250 0.014
9 Br 0.862 0.750 0.193
10 Br 0.166 0.547 0.060
11 Br 0.834 0.453 0.940
12 Br 0.334 0.953 0.560
13 Br 0.600 0.750 0.986
14 Br 0.362 0.250 0.307
15 Br 0.091 0.750 0.819
16 Br 0.138 0.250 0.807
17 Br 0.334 0.547 0.560
18 Br 0.666 0.047 0.440
19 Br 0.100 0.250 0.514
20 Br 0.166 0.953 0.060
21 Rb 0.921 0.491 0.669
22 Rb 0.079 0.991 0.331
23 Rb 0.579 0.491 0.169
24 Rb 0.579 0.009 0.169
25 Rb 0.079 0.509 0.331
26 Rb 0.421 0.509 0.831
27 Rb 0.421 0.991 0.831
28 Rb 0.921 0.009 0.669
29 Dy 0.429 0.250 0.505
30 Dy 0.571 0.750 0.495
31 Dy 0.071 0.250 0.005
32 Dy 0.929 0.750 0.995

Output
The calculation puts the formation energy (no corrections) at -1838 meV per atom. The calculation puts the calculated density at 4.28 g cm⁻³.

---

The following is a DFT calculation (PBE) of a relaxed Pm5SmErTm2 crystal.

Lattice parameters (Å, degrees): 5.620 10.515 10.697 90.00 90.00 105.50
Positions (direct):
1 Tm 0.115 0.230 0.313
2 Tm 0.885 0.770 0.813
3 Tm 0.890 0.779 0.240
4 Tm 0.110 0.221 0.740
5 Pm 0.016 0.032 0.021
6 Pm 0.702 0.404 0.205
7 Pm 0.481 0.962 0.742
8 Pm 0.984 0.968 0.521
9 Pm 0.519 0.038 0.242
10 Pm 0.389 0.779 0.024
11 Pm 0.281 0.562 0.310
12 Pm 0.719 0.438 0.810
13 Pm 0.298 0.596 0.705
14 Pm 0.611 0.221 0.524
15 Er 0.590 0.179 0.959
16 Er 0.410 0.821 0.459
17 Sm 0.200 0.400 0.010
18 Sm 0.800 0.600 0.510

Output
For the formation energy from the elements, the calculation gives 148 meV/atom. The calculation puts the calculated density at 7.53 g cm⁻³.

---

The following is a DFT calculation (PBE) of a relaxed Y4Hf6O19 crystal.

Lattice parameters (Å, degrees): 8.096 8.096 8.096 109.47 109.47 109.47
Positions (direct):
1 Hf 0.171 0.671 0.500
2 Hf 0.500 0.171 0.671
3 Hf 0.500 0.829 0.329
4 Hf 0.671 0.500 0.171
5 Hf 0.829 0.329 0.500
6 Hf 0.329 0.500 0.829
7 O 0.029 0.266 0.669
8 O 0.331 0.597 0.361
9 O 0.000 0.645 0.645
10 O 0.266 0.669 0.029
11 O 0.000 0.355 0.355
12 O 0.355 0.000 0.355
13 O 0.639 0.236 0.971
14 O 0.403 0.734 0.764
15 O 0.669 0.029 0.266
16 O 0.236 0.971 0.639
17 O 0.645 0.000 0.645
18 O 0.000 0.000 0.000
19 O 0.764 0.403 0.734
20 O 0.355 0.355 0.000
21 O 0.597 0.361 0.331
22 O 0.971 0.639 0.236
23 O 0.734 0.764 0.403
24 O 0.361 0.331 0.597
25 O 0.645 0.645 0.000
26 Y 0.291 0.291 0.291
27 Y 0.000 0.000 0.709
28 Y 0.709 0.000 0.000
29 Y 0.000 0.709 0.000

Output
The calculation puts the formation energy (no corrections) at -3243 meV per atom. The calculation puts the calculated density at 7.03 g cm⁻³.

---

The following is a DFT calculation (PBE) of a relaxed LiGaAg4 crystal.

Lattice parameters (Å, degrees): 5.520 5.520 5.520 60.00 60.00 60.00
Positions (direct):
1 Ag 0.625 0.625 0.625
2 Ag 0.125 0.625 0.625
3 Ag 0.625 0.625 0.125
4 Ag 0.625 0.125 0.625
5 Ga 0.250 0.250 0.250
6 Li 0.000 0.000 0.000

Output
For the formation energy from the elements, the calculation gives 63 meV/atom. The calculation puts the calculated density at 7.10 g cm⁻³.